# 1
Compound: NaCdInGa
Source: Alexandria via LeMat-Bulk
Functional: PBE
Structure: relaxed

It has space group F-43m (No. 216), with a = 7.2075 Å, b = 7.2075 Å, c = 7.2075 Å, α = 90.00°, β = 90.00° and γ = 90.00°. The inequivalent atoms are Na at (0.0000, 0.0000, 0.0000), Cd at (0.2500, 0.2500, 0.7500), In at (0.0000, 0.0000, 0.5000) and Ga at (0.2500, 0.2500, 0.2500).

For the energy of formation from the pure elements, the calculation gives -39.1 meV per atom.



# 2
Compound: ZrInRh2
Source: Alexandria via LeMat-Bulk
Functional: PBE
Structure: relaxed

It has space group Pm (No. 6), with a = 3.4139 Å, b = 4.2536 Å, c = 5.2996 Å, α = 90.00°, β = 108.62° and γ = 90.00°. The inequivalent atoms are Zr at (0.0000, 0.0000, 0.0000), In at (0.7196, 0.5000, 0.4345), Rh at (0.2771, 0.0000, 0.5490) and Rh at (0.4487, 0.5000, 0.8972).

For the energy of formation from the pure elements, the calculation gives -548.5 meV per atom.



# 3
Compound: SrTl2Cd
Source: Alexandria via LeMat-Bulk
Functional: PBE
Structure: relaxed

It has space group P4mm (No. 99), with a = 4.1073 Å, b = 4.1073 Å, c = 7.3515 Å, α = 90.00°, β = 90.00° and γ = 90.00°. The inequivalent atoms are Sr at (0.0000, 0.0000, 0.0000), Tl at (0.0000, 0.0000, 0.5159), Tl at (0.5000, 0.5000, 0.2762) and Cd at (0.5000, 0.5000, 0.7297).

For the energy of formation from the pure elements, the calculation gives -200.1 meV per atom.



# 4
Compound: K3LiF4
Source: Alexandria via LeMat-Bulk
Functional: PBE
Structure: relaxed

It has space group Pmn2_1 (No. 31), with a = 8.3992 Å, b = 7.0820 Å, c = 5.4490 Å, α = 90.00°, β = 90.00° and γ = 90.00°. The inequivalent atoms are K at (0.0000, 0.1371, 0.0000), K at (0.2377, 0.3274, 0.5000), Li at (0.0000, 0.8223, 0.4506), F at (0.0000, 0.0953, 0.5131), F at (0.0000, 0.7975, 0.1034) and F at (0.2104, 0.6959, 0.5195).

The calculation puts the uncorrected formation energy at -2.709 eV per atom.



# 5
Compound: Cs2CdRhF6
Source: Alexandria via LeMat-Bulk
Functional: PBE
Structure: relaxed

It has space group Fm-3m (No. 225), with a = 8.9448 Å, b = 8.9448 Å, c = 8.9448 Å, α = 90.00°, β = 90.00° and γ = 90.00°. The inequivalent atoms are Cs at (0.2500, 0.2500, 0.2500), Cd at (0.0000, 0.0000, 0.0000), Rh at (0.0000, 0.0000, 0.5000) and F at (0.0000, 0.0000, 0.2560).

The calculation puts the uncorrected formation energy at -2.102 eV per atom.



# 6
Compound: NaCd2H8
Source: Alexandria via LeMat-Bulk
Functional: PBE
Structure: relaxed

It has space group P-1 (No. 2), with a = 3.0561 Å, b = 6.0600 Å, c = 11.0645 Å, α = 74.37°, β = 85.87° and γ = 89.81°. The inequivalent atoms are Na at (0.0000, 0.0000, 0.0000), Cd at (0.4683, 0.4916, 0.1402), H at (0.0538, 0.6590, 0.7723), H at (0.0608, 0.5440, 0.5108), H at (0.4209, 0.9865, 0.5287) and H at (0.4693, 0.7985, 0.1253).

For the total energy, the calculation gives -2.620 eV/atom.